Entry from Alexandria: an optimized crystal structure of Ti4NiRu (PBE).

Lattice parameters (Å, degrees): 3.054 3.054 9.663 90.00 90.00 90.00
Sites, in units of the cell vectors:
Ti: 0.500 0.500 0.844
Ti: 0.500 0.500 0.156
Ti: 0.000 0.000 0.660
Ti: 0.000 0.000 0.340
Ni: 0.000 0.000 0.000
Ru: 0.500 0.500 0.500

Computed properties:
SG	P4/mmm (123)
polymorph energy (0 for the lowest one)	0.0000	eV per atom
formation enthalpy at 0 K	-0.403	eV per atom
spin magnetization	0.000	μB/atom
total DFT energy (no corrections)	-8.18	eV/atom